Entry 1:
Density functional theory data (SCAN) for a PBEsol-optimized structure of Ba2NiOs.

The space group is F-43m (No. 216) and the conventional cell measures 7.217, 7.217 and 7.217 Å, with angles of 90.00, 90.00 and 90.00 degrees. Symmetry generates all atoms from Ba at (0.000, 0.000, 0.000), Ba at (0.250, 0.250, 0.250), Ni at (0.250, 0.250, 0.750) and Os at (0.000, 0.000, 0.500).

The value obtained for the electronic total energy is -651.36 eV per cell. The value obtained for the formation energy from the elements is 1.0785 eV/atom. As for the density of states at the Fermi level: 0.9238 states/eV/atom.

=====

Entry 2:
Density functional theory data (SCAN) for a PBEsol-optimized structure of BaNi2Os.

The space group is Immm (No. 71) and the conventional cell measures 4.125, 5.619 and 6.942 Å, with angles of 90.00, 90.00 and 90.00 degrees. Symmetry generates all atoms from Ba at (0.000, 0.000, 0.000), Ni at (0.000, 0.500, 0.169) and Os at (0.000, 0.000, 0.500).

The value obtained for the electronic total energy is -280.31 eV per cell. The value obtained for the formation energy from the elements is 0.9052 eV/atom. As for the density of states at the Fermi level: 0.8484 states/eV/atom.

=====

Entry 3:
Density functional theory data (SCAN) for a PBEsol-optimized structure of BaNiOs2.

The space group is Immm (No. 71) and the conventional cell measures 2.813, 4.603 and 10.613 Å, with angles of 90.00, 90.00 and 90.00 degrees. Symmetry generates all atoms from Ba at (0.000, 0.000, 0.000), Ni at (0.000, 0.000, 0.500) and Os at (0.000, 0.500, 0.216).

The value obtained for the electronic total energy is -391.00 eV per cell. The value obtained for the formation energy from the elements is 0.9965 eV/atom. As for the density of states at the Fermi level: 1.1737 states/eV/atom.

=====

Entry 4:
Density functional theory data (SCAN) for a PBEsol-optimized structure of BaNi2P.

The space group is I4_1/amd (No. 141, origin choice 2) and the conventional cell measures 4.817, 4.817 and 14.399 Å, with angles of 90.00, 90.00 and 90.00 degrees. Symmetry generates all atoms from Ba at (0.000, 0.250, 0.375), Ni at (0.000, 0.000, 0.000) and P at (0.000, 0.250, 0.875).

The value obtained for the electronic total energy is -337.93 eV per cell. The value obtained for the formation energy from the elements is -0.5470 eV/atom. As for the density of states at the Fermi level: 0.5394 states/eV/atom.

=====

Entry 5:
Density functional theory data (SCAN) for a PBEsol-optimized structure of BaNi2P4.

The space group is I4/mmm (No. 139) and the conventional cell measures 6.505, 6.505 and 5.700 Å, with angles of 90.00, 90.00 and 90.00 degrees. Symmetry generates all atoms from Ba at (0.000, 0.000, 0.000), Ni at (0.000, 0.500, 0.250) and P at (0.000, 0.243, 0.500).

The value obtained for the electronic total energy is -237.00 eV per cell. The value obtained for the formation energy from the elements is -0.7158 eV/atom. As for the density of states at the Fermi level: 0.3906 states/eV/atom.

=====

Entry 6:
Density functional theory data (SCAN) for a PBEsol-optimized structure of BaNi2P.

The space group is F-43m (No. 216) and the conventional cell measures 6.627, 6.627 and 6.627 Å, with angles of 90.00, 90.00 and 90.00 degrees. Symmetry generates all atoms from Ba at (0.000, 0.000, 0.000), Ni at (0.000, 0.000, 0.500), Ni at (0.250, 0.250, 0.750) and P at (0.250, 0.250, 0.250).

The value obtained for the electronic total energy is -318.90 eV per cell. The value obtained for the formation energy from the elements is 0.6428 eV/atom. As for the density of states at the Fermi level: 1.5034 states/eV/atom.

=====

Entry 7:
Density functional theory data (SCAN) for a PBEsol-optimized structure of Ba2TcNiP.

The space group is P4/mmm (No. 123) and the conventional cell measures 5.752, 5.752 and 4.441 Å, with angles of 90.00, 90.00 and 90.00 degrees. Symmetry generates all atoms from Ba at (0.000, 0.500, 0.000), Tc at (0.000, 0.000, 0.000), Ni at (0.500, 0.500, 0.500) and P at (0.000, 0.000, 0.500).

The value obtained for the electronic total energy is -139.24 eV per cell. The value obtained for the formation energy from the elements is 0.2986 eV/atom. As for the density of states at the Fermi level: 0.5709 states/eV/atom.

=====

Entry 8:
Density functional theory data (SCAN) for a PBEsol-optimized structure of BaNi3Pb.

The space group is Pm-3m (No. 221) and the conventional cell measures 4.871, 4.871 and 4.871 Å, with angles of 90.00, 90.00 and 90.00 degrees. Symmetry generates all atoms from Ba at (0.000, 0.000, 0.000), Ni at (0.000, 0.000, 0.500) and Pb at (0.500, 0.500, 0.500).

The value obtained for the electronic total energy is -155.27 eV per cell. The value obtained for the formation energy from the elements is 1.7153 eV/atom. As for the density of states at the Fermi level: 0.8125 states/eV/atom.

=====

Entry 9:
Density functional theory data (SCAN) for a PBEsol-optimized structure of BaNiPb2.

The space group is Cmmm (No. 65) and the conventional cell measures 5.796, 8.872 and 4.382 Å, with angles of 90.00, 90.00 and 90.00 degrees. Symmetry generates all atoms from Ba at (0.000, 0.000, 0.000), Ni at (0.000, 0.500, 0.000) and Pb at (0.000, 0.328, 0.500).

The value obtained for the electronic total energy is -417.31 eV per cell. The value obtained for the formation energy from the elements is -0.3424 eV/atom. As for the density of states at the Fermi level: 0.3577 states/eV/atom.

=====

Entry 10:
Density functional theory data (SCAN) for a PBEsol-optimized structure of BaNiSn2Pb.

The space group is P4/mmm (No. 123) and the conventional cell measures 5.036, 5.036 and 5.331 Å, with angles of 90.00, 90.00 and 90.00 degrees. Symmetry generates all atoms from Ba at (0.000, 0.000, 0.000), Ni at (0.500, 0.500, 0.500), Sn at (0.000, 0.500, 0.500) and Pb at (0.500, 0.500, 0.000).

The value obtained for the electronic total energy is -204.51 eV per cell. The value obtained for the formation energy from the elements is -0.2327 eV/atom. As for the density of states at the Fermi level: 0.6194 states/eV/atom.

=====

Entry 11:
Density functional theory data (SCAN) for a PBEsol-optimized structure of Rb2BaNiPd.

The space group is P4/mmm (No. 123) and the conventional cell measures 5.898, 5.898 and 4.878 Å, with angles of 90.00, 90.00 and 90.00 degrees. Symmetry generates all atoms from Rb at (0.000, 0.500, 0.000), Ba at (0.000, 0.000, 0.500), Ni at (0.500, 0.500, 0.000) and Pd at (0.500, 0.500, 0.500).

The value obtained for the electronic total energy is -127.26 eV per cell. The value obtained for the formation energy from the elements is 0.5426 eV/atom. As for the density of states at the Fermi level: 0.4598 states/eV/atom.

=====

Entry 12:
Density functional theory data (SCAN) for a PBEsol-optimized structure of BaTiNiPd2.

The space group is P4/mmm (No. 123) and the conventional cell measures 5.060, 5.060 and 5.133 Å, with angles of 90.00, 90.00 and 90.00 degrees. Symmetry generates all atoms from Ba at (0.000, 0.000, 0.000), Ti at (0.000, 0.000, 0.500), Ni at (0.500, 0.500, 0.500) and Pd at (0.000, 0.500, 0.000).

The value obtained for the electronic total energy is -127.62 eV per cell. The value obtained for the formation energy from the elements is 1.9370 eV/atom. As for the density of states at the Fermi level: 1.1092 states/eV/atom.